No. 1
LaIr2Rh2 after structural relaxation. Source: Alexandria via LeMat-Bulk, functional PBE.

Lattice parameters (Å, degrees): 4.187 4.187 10.957 90.00 90.00 90.00
Space group I4/mmm (No. 139)
One atom of each set of equivalent atoms:
La1 0.000 0.000 0.000
Ir1 0.000 0.000 0.392
Rh1 0.000 0.500 0.250

## Properties
The value obtained for the density of states at the Fermi level is 1.57 states/eV per atom. The calculation puts the energy of formation at -0.234 eV/atom. For the energy above the most stable polymorph in this dataset, the calculation gives 0 meV/atom. As for the uncorrected energy: -7.705 eV per atom.



No. 2
LaIr2Rh after structural relaxation. Source: Alexandria via LeMat-Bulk, functional PBE.

Lattice parameters (Å, degrees): 2.930 4.552 5.493 90.00 99.10 90.00
Space group Pm (No. 6)
One atom of each set of equivalent atoms:
La1 0.000 0.000 0.000
Ir1 0.161 0.500 0.616
Ir2 0.584 0.000 0.509
Rh1 0.532 0.500 0.202

## Properties
The value obtained for the density of states at the Fermi level is 0.95 states/eV per atom. The calculation puts the energy of formation at -0.122 eV/atom. For the energy above the most stable polymorph in this dataset, the calculation gives 100 meV/atom. As for the uncorrected energy: -7.622 eV per atom.



No. 3
LaIr2Rh after structural relaxation. Source: Alexandria via LeMat-Bulk, functional PBE.

Lattice parameters (Å, degrees): 2.8756 2.8756 29.0999 90.00 90.00 120.00
Space group R3m (No. 160, hexagonal axes)
One atom of each set of equivalent atoms:
La1 0.0000 0.0000 0.0000
Ir1 0.0000 0.0000 0.5008
Ir2 0.0000 0.0000 0.7610
Rh1 0.0000 0.0000 0.2411

## Properties
The value obtained for the density of states at the Fermi level is 1.68 states/eV per atom. The calculation puts the energy of formation at 0.349 eV/atom. For the energy above the most stable polymorph in this dataset, the calculation gives 571 meV/atom. As for the uncorrected energy: -7.151 eV per atom.



No. 4
La2IrRh after structural relaxation. Source: Alexandria via LeMat-Bulk, functional PBE.

Lattice parameters (Å, degrees): 6.966 6.966 6.966 90.00 90.00 90.00
Space group F-43m (No. 216)
One atom of each set of equivalent atoms:
La1 0.000 0.000 0.000
La2 0.250 0.250 0.250
Ir1 0.000 0.000 0.500
Rh1 0.250 0.250 0.750

## Properties
The value obtained for the density of states at the Fermi level is 1.51 states/eV per atom. The calculation puts the energy of formation at -0.322 eV/atom. As for the uncorrected energy: -6.839 eV per atom.



No. 5
La2IrRh after structural relaxation. Source: Alexandria via LeMat-Bulk, functional PBE.

Lattice parameters (Å, degrees): 5.970 4.264 8.006 90.00 109.76 90.00
Space group P2_1/m (No. 11)
One atom of each set of equivalent atoms:
La1 0.220 0.250 0.427
La2 0.220 0.250 0.934
Ir1 0.332 0.750 0.208
Rh1 0.319 0.750 0.705

## Properties
The value obtained for the density of states at the Fermi level is 0.42 states/eV per atom. The calculation puts the energy of formation at -0.727 eV/atom. As for the uncorrected energy: -7.244 eV per atom.



No. 6
La6Ir3Rh after structural relaxation. Source: Alexandria via LeMat-Bulk, functional PBE.

Lattice parameters (Å, degrees): 11.957 4.227 12.204 90.00 109.91 90.00
Space group P2_1/m (No. 11)
One atom of each set of equivalent atoms:
La1 0.045 0.250 0.395
La2 0.102 0.250 0.940
La3 0.239 0.750 0.274
La4 0.288 0.750 0.759
La5 0.395 0.250 0.551
La6 0.427 0.750 0.099
Ir1 0.066 0.250 0.168
Ir2 0.200 0.750 0.504
Ir3 0.341 0.250 0.922
Rh1 0.454 0.250 0.311

## Properties
The value obtained for the density of states at the Fermi level is 0.55 states/eV per atom. The calculation puts the energy of formation at -0.675 eV/atom. As for the uncorrected energy: -7.025 eV per atom.



| no. | calculated volume (A^3/atom) | spin magnetization (μB/cell) |
| --- | --- | --- |
| 1 | 19.21 | 0.00 |
| 2 | 18.09 | 0.00 |
| 3 | 17.37 | 0.73 |
| 4 | 21.13 | 0.01 |
| 5 | 23.98 | 0.00 |
| 6 | 29.00 | 0.00 |